Record 1
DFT (PBE) results for crystalline AlTc2Mo at its relaxed geometry.

The mass density comes out at 8.1 g/cm³. Its formation energy is 577.1 meV/atom. The volume comes out at 16.31 Å³/atom.

It has space group I-42d (No. 122), with a = 6.942 Å, b = 6.942 Å, c = 5.414 Å, α = 90.00°, β = 90.00° and γ = 90.00°. The asymmetric unit holds Al at (0.000, 0.000, 0.000), Tc at (0.235, 0.250, 0.625) and Mo at (0.000, 0.000, 0.500).

=====

Record 2
DFT (PBE) results for crystalline AlTc2Mo at its relaxed geometry.

The mass density comes out at 8.9 g/cm³. Its formation energy is -139.6 meV/atom. The volume comes out at 14.84 Å³/atom.

It has space group Pm (No. 6), with a = 2.758 Å, b = 4.288 Å, c = 5.192 Å, α = 90.00°, β = 104.89° and γ = 90.00°. The asymmetric unit holds Al at (0.000, 0.000, 0.000), Tc at (0.233, 0.500, 0.755), Tc at (0.508, 0.000, 0.505) and Mo at (0.684, 0.500, 0.244).

=====

Record 3
DFT (PBE) results for crystalline AlTc2Mo at its relaxed geometry.

The mass density comes out at 9.0 g/cm³. Its formation energy is -231.3 meV/atom. The volume comes out at 14.75 Å³/atom.

It has space group P4/mmm (No. 123), with a = 3.104 Å, b = 3.104 Å, c = 6.124 Å, α = 90.00°, β = 90.00° and γ = 90.00°. The asymmetric unit holds Al at (0.000, 0.000, 0.000), Tc at (0.500, 0.500, 0.250) and Mo at (0.000, 0.000, 0.500).

=====

Record 4
DFT (PBE) results for crystalline AlTc2Mo at its relaxed geometry.

The mass density comes out at 8.9 g/cm³. Its formation energy is -157.6 meV/atom. The volume comes out at 14.79 Å³/atom.

It has space group Immm (No. 71), with a = 3.124 Å, b = 4.435 Å, c = 8.543 Å, α = 90.00°, β = 90.00° and γ = 90.00°. The asymmetric unit holds Al at (0.000, 0.000, 0.000), Tc at (0.000, 0.500, 0.245) and Mo at (0.000, 0.000, 0.500).

=====

Record 5
DFT (PBE) results for crystalline AlTc2Mo at its relaxed geometry.

The mass density comes out at 8.9 g/cm³. Its formation energy is -112.0 meV/atom. The volume comes out at 14.86 Å³/atom.

It has space group Pmm2 (No. 25), with a = 2.784 Å, b = 4.138 Å, c = 5.161 Å, α = 90.00°, β = 90.00° and γ = 90.00°. The asymmetric unit holds Al at (0.000, 0.000, 0.000), Tc at (0.000, 0.000, 0.505), Tc at (0.500, 0.500, 0.765) and Mo at (0.500, 0.500, 0.251).

=====

Record 6
DFT (PBE) results for crystalline AlTc2Mo at its relaxed geometry.

The mass density comes out at 8.9 g/cm³. Its formation energy is -36.8 meV/atom. The volume comes out at 14.83 Å³/atom.

It has space group Pmmm (No. 47), with a = 3.080 Å, b = 4.229 Å, c = 4.553 Å, α = 90.00°, β = 90.00° and γ = 90.00°. The asymmetric unit holds Al at (0.000, 0.000, 0.000), Tc at (0.000, 0.500, 0.500), Tc at (0.500, 0.500, 0.000) and Mo at (0.500, 0.000, 0.500).

=====

Record 7
DFT (PBE) results for crystalline Al2TcMo2 at its relaxed geometry.

The mass density comes out at 7.6 g/cm³. Its formation energy is -5.2 meV/atom. The volume comes out at 15.06 Å³/atom.

It has space group P4/mbm (No. 127), with a = 6.714 Å, b = 6.714 Å, c = 3.340 Å, α = 90.00°, β = 90.00° and γ = 90.00°. The asymmetric unit holds Al at (0.131, 0.369, 0.000), Tc at (0.000, 0.000, 0.000) and Mo at (0.169, 0.669, 0.500).

=====

Record 8
DFT (PBE) results for crystalline AlV2TcMo at its relaxed geometry.

The mass density comes out at 7.4 g/cm³. Its formation energy is -219.5 meV/atom. The volume comes out at 14.51 Å³/atom.

It has space group Cmcm (No. 63), with a = 4.361 Å, b = 15.012 Å, c = 4.433 Å, α = 90.00°, β = 90.00° and γ = 90.00°. The asymmetric unit holds Al at (0.000, 0.249, 0.250), V at (0.000, 0.052, 0.250), V at (0.000, 0.144, 0.750), Tc at (0.000, 0.354, 0.750) and Mo at (0.000, 0.445, 0.250).

=====

Record 9
DFT (PBE) results for crystalline AlTcMoW at its relaxed geometry.

The mass density comes out at 11.1 g/cm³. Its formation energy is -135.5 meV/atom. The volume comes out at 15.20 Å³/atom.

It has space group F-43m (No. 216), with a = 6.242 Å, b = 6.242 Å, c = 6.242 Å, α = 90.00°, β = 90.00° and γ = 90.00°. The asymmetric unit holds Al at (0.000, 0.000, 0.000), Tc at (0.250, 0.250, 0.250), Mo at (0.250, 0.250, 0.750) and W at (0.000, 0.000, 0.500).

=====

Record 10
DFT (PBE) results for crystalline Y2AlTcMo at its relaxed geometry.

The mass density comes out at 5.0 g/cm³. Its formation energy is 1029.0 meV/atom. The volume comes out at 26.33 Å³/atom.

It has space group P4/mmm (No. 123), with a = 5.196 Å, b = 5.196 Å, c = 4.876 Å, α = 90.00°, β = 90.00° and γ = 90.00°. The asymmetric unit holds Y at (0.000, 0.500, 0.000), Al at (0.000, 0.000, 0.500), Tc at (0.500, 0.500, 0.500) and Mo at (0.000, 0.000, 0.000).

=====

Record 11
DFT (PBE) results for crystalline AlTe2Mo at its relaxed geometry.

The mass density comes out at 6.3 g/cm³. As for the formation energy (no corrections): 0.225 eV per atom. The volume comes out at 24.75 Å³/atom.

It has space group R-3m (No. 166, hexagonal axes), with a = 4.0507 Å, b = 4.0507 Å, c = 20.8976 Å, α = 90.00°, β = 90.00° and γ = 120.00°. The asymmetric unit holds Al at (0.0000, 0.0000, 0.0000), Te at (0.0000, 0.0000, 0.2443) and Mo at (0.0000, 0.0000, 0.5000).

=====

Record 12
DFT (PBE) results for crystalline AlTeMo3 at its relaxed geometry.

The mass density comes out at 7.5 g/cm³. Its energy above the most stable polymorph in this dataset is 0 kJ/mol of formula units. As for the formation energy (no corrections): 1.445 eV per atom. The volume comes out at 19.67 Å³/atom.

It has space group Pm-3m (No. 221), with a = 4.616 Å, b = 4.616 Å, c = 4.616 Å, α = 90.00°, β = 90.00° and γ = 90.00°. The asymmetric unit holds Al at (0.000, 0.000, 0.000), Te at (0.500, 0.500, 0.500) and Mo at (0.000, 0.000, 0.500).